1.
Density functional theory data (PBE-GGA) for an optimized crystal structure of Ba2Li3TmBi4.

## Properties
Calculated volume (A^3/atom): 31.0
DFT formation energy (eV per atom): -0.709
Total DFT energy (no corrections) (eV per atom): -3.67
Crystal system: tetragonal

Geometry as extended XYZ:
```
10
Lattice="5.055 0.000 0.000 0.000 5.055 0.000 0.000 0.000 12.139" Properties=species:S:1:pos:R:3 pbc="T T T"
Ba 0.000 2.527 2.711
Ba 2.527 0.000 9.428
Li 0.000 2.527 10.704
Li 2.527 0.000 1.435
Li 2.527 2.527 6.070
Tm 0.000 0.000 6.070
Bi 0.000 0.000 0.000
Bi 0.000 2.527 7.810
Bi 2.527 0.000 4.329
Bi 2.527 2.527 0.000
```

2.
Density functional theory data (PBE-GGA) for an optimized crystal structure of Ac5HPtRh2.

## Properties
Calculated volume (A^3/atom): 28.8
Total DFT energy (no corrections) (eV per atom): -5.57
Crystal system: orthorhombic

Geometry as extended XYZ:
```
18
Lattice="2.125 -9.359 0.000 2.125 9.359 0.000 0.000 0.000 13.030" Properties=species:S:1:pos:R:3 pbc="T T T"
Ac 2.125 9.342 6.515
Ac 2.125 6.509 10.086
Ac 2.125 5.936 1.448
Ac 2.125 5.726 5.735
Ac 2.125 0.429 9.657
Ac 2.125 -0.429 3.141
Ac 2.125 -5.726 12.251
Ac 2.125 -5.936 7.963
Ac 2.125 -6.509 3.571
Ac 2.125 -9.342 0.000
H 2.125 8.301 2.143
H 2.125 -8.301 8.659
Pt 2.125 3.464 10.124
Pt 2.125 -3.464 3.609
Rh 2.125 2.385 5.884
Rh 2.125 2.038 1.241
Rh 2.125 -2.038 7.756
Rh 2.125 -2.385 12.399
```

3.
Density functional theory data (PBE-GGA) for an optimized crystal structure of KBaIr2.

## Properties
Calculated volume (A^3/atom): 38.6
DFT formation energy (eV per atom): 0.258
Total DFT energy (no corrections) (eV per atom): -4.93
Crystal system: monoclinic

Geometry as extended XYZ:
```
4
Lattice="5.739 -2.232 0.000 5.739 2.232 0.000 -4.773 0.000 6.022" Properties=species:S:1:pos:R:3 pbc="T T T"
K 0.000 0.000 0.000
Ba 3.353 0.000 3.011
Ir 0.235 0.000 3.353
Ir 6.471 0.000 2.670
```

4.
Density functional theory data (PBE-GGA) for an optimized crystal structure of Dy5Tl2Os.

## Properties
Calculated volume (A^3/atom): 35.1
DFT formation energy (eV per atom): 0.056
Total DFT energy (no corrections) (eV per atom): -4.82
Crystal system: orthorhombic

Geometry as extended XYZ:
```
16
Lattice="2.742 -8.267 0.000 2.742 8.267 0.000 0.000 0.000 12.396" Properties=species:S:1:pos:R:3 pbc="T T T"
Dy 2.742 7.086 7.488
Dy 2.742 7.086 11.107
Dy 2.742 3.405 7.141
Dy 2.742 3.405 11.453
Dy 2.742 3.358 3.099
Dy 2.742 -3.358 9.297
Dy 2.742 -3.405 0.943
Dy 2.742 -3.405 5.255
Dy 2.742 -7.086 1.290
Dy 2.742 -7.086 4.908
Tl 2.742 6.283 1.624
Tl 2.742 6.283 4.574
Tl 2.742 -6.283 7.823
Tl 2.742 -6.283 10.772
Os 2.742 5.154 9.297
Os 2.742 -5.154 3.099
```